{
  "formula": "Mg2CrHg",
  "functional": "GGA-PBE",
  "state": "relaxed",
  "space_group": "No. 123",
  "energy_ev_per_atom": -3.1221,
  "magnetic_moment_mub_per_fu": 3.85,
  "lattice": [[-3.5262, 0.1419, -0.1440], [-0.1808, -1.0881, 3.3554], [0.1621, 6.0168, 1.9598]],
  "species": ["Hg", "Cr", "Mg", "Mg"],
  "fractional_positions": [[0.5000, 0.5000, 0.7500], [0.5000, 0.5000, 0.2500], [0.0000, 0.0000, 0.0092], [0.0000, 0.0000, 0.4908]]
}

***

{
  "formula": "BeTlCd2",
  "functional": "GGA-PBE",
  "state": "relaxed",
  "space_group": "No. 160",
  "energy_ev_per_atom": -1.6159,
  "magnetic_moment_mub_per_fu": 0.00,
  "e_above_lowest_polymorph_ev_per_atom": 0.076,
  "lattice": [[8.8627, -0.0165, -0.0097], [8.2305, 3.2874, -0.0097], [8.2305, 1.5750, 2.8856]],
  "species": ["Cd", "Cd", "Be", "Tl"],
  "fractional_positions": [[0.0129, 0.0129, 0.0129], [0.2542, 0.2542, 0.2542], [0.7449, 0.7449, 0.7449], [0.4880, 0.4880, 0.4880]]
}

***

{
  "formula": "Tc2Mo",
  "functional": "GGA-PBE",
  "state": "relaxed",
  "space_group": "No. 164",
  "energy_ev_per_atom": -10.3807,
  "magnetic_moment_mub_per_fu": 0.00,
  "e_above_lowest_polymorph_ev_per_atom": 0.031,
  "lattice": [[-2.3186, 1.2322, 0.8662], [1.4431, -1.6027, 1.7302], [7.2701, 10.8666, 4.0020]],
  "species": ["Tc", "Tc", "Tc", "Tc", "Mo", "Mo"],
  "fractional_positions": [[0.6667, 0.3333, 0.5819], [0.3333, 0.6667, 0.4181], [0.6667, 0.3333, 0.2596], [0.3333, 0.6667, 0.7404], [0.3333, 0.6667, 0.0895], [0.6667, 0.3333, 0.9105]]
}

***

{
  "formula": "ReAsSe2",
  "functional": "GGA-PBE",
  "state": "relaxed",
  "space_group": "No. 166",
  "e_form_raw_kj_per_mol_atoms": 25,
  "energy_ev_per_atom": -5.7562,
  "magnetic_moment_mub_per_fu": 0.00,
  "lattice": [[1.7867, 0.0000, 10.3489], [-0.8934, 1.5474, 10.3489], [-0.8934, -1.5474, 10.3489]],
  "species": ["Se", "Se", "Re", "As"],
  "fractional_positions": [[0.1080, 0.1080, 0.1080], [0.8920, 0.8920, 0.8920], [0.5000, 0.5000, 0.5000], [0.0000, 0.0000, 0.0000]]
}

***

{
  "formula": "EuSbPd4",
  "functional": "GGA-PBE",
  "state": "relaxed",
  "space_group": "No. 216",
  "e_form_raw_kj_per_mol_atoms": -45,
  "energy_ev_per_atom": -6.3273,
  "magnetic_moment_mub_per_fu": 6.87,
  "lattice": [[5.4501, 0.0000, 0.0000], [2.7250, 4.7199, 0.0000], [2.7250, 1.5733, 4.4500]],
  "species": ["Sb", "Eu", "Pd", "Pd", "Pd", "Pd"],
  "fractional_positions": [[0.2500, 0.2500, 0.2500], [0.0000, 0.0000, 0.0000], [0.6247, 0.1259, 0.6247], [0.6247, 0.6247, 0.6247], [0.6247, 0.6247, 0.1259], [0.1259, 0.6247, 0.6247]]
}

***

{
  "formula": "CeSiIrN",
  "functional": "GGA-PBE",
  "state": "relaxed",
  "space_group": "No. 129",
  "e_form_raw_kj_per_mol_atoms": -118,
  "energy_ev_per_atom": -8.3595,
  "magnetic_moment_mub_per_fu": 0.41,
  "lattice": [[3.9810, 0.0000, 0.0000], [0.0000, 3.9810, 0.0000], [0.0000, 0.0000, 8.0730]],
  "species": ["Ce", "Ce", "N", "N", "Ir", "Ir", "Si", "Si"],
  "fractional_positions": [[0.0000, 0.5000, 0.8386], [0.5000, 0.0000, 0.1614], [0.5000, 0.0000, 0.8785], [0.0000, 0.5000, 0.1215], [0.0000, 0.0000, 0.5000], [0.5000, 0.5000, 0.5000], [0.5000, 0.0000, 0.6606], [0.0000, 0.5000, 0.3394]]
}

***

{
  "formula": "CsAcSe2",
  "functional": "GGA-PBE",
  "state": "relaxed",
  "space_group": "No. 166",
  "e_form_raw_kj_per_mol_atoms": -174,
  "energy_ev_per_atom": -4.7898,
  "magnetic_moment_mub_per_fu": 0.00,
  "e_above_lowest_polymorph_ev_per_atom": 0.000,
  "lattice": [[4.6431, 0.0000, 0.0000], [2.3215, 4.0210, 0.0000], [2.3215, 1.3403, 8.4283]],
  "species": ["Se", "Se", "Ac", "Cs"],
  "fractional_positions": [[0.7320, 0.7320, 0.8039], [0.2680, 0.2680, 0.1961], [0.0000, 0.0000, 0.0000], [0.5000, 0.5000, 0.5000]]
}

***

{
  "formula": "Pu4BiTe3",
  "functional": "GGA-PBE",
  "state": "relaxed",
  "space_group": "No. 13",
  "e_form_raw_kj_per_mol_atoms": -84,
  "energy_ev_per_atom": -9.7001,
  "magnetic_moment_mub_per_fu": 0.10,
  "e_above_lowest_polymorph_ev_per_atom": 0.000,
  "lattice": [[-0.8138, 2.7339, 7.1650], [0.1731, -7.7081, 0.1609], [8.9274, 0.2199, 0.9300]],
  "species": ["Pu", "Pu", "Pu", "Pu", "Pu", "Pu", "Pu", "Pu", "Bi", "Bi", "Te", "Te", "Te", "Te", "Te", "Te"],
  "fractional_positions": [[0.0009, 0.2506, 0.6217], [0.9991, 0.7494, 0.3783], [0.4998, 0.7454, 0.1251], [0.5009, 0.2506, 0.3783], [0.9998, 0.7454, 0.8749], [0.5002, 0.2546, 0.8749], [0.0002, 0.2546, 0.1251], [0.4991, 0.7494, 0.6217], [0.2500, 0.0000, 0.1256], [0.7500, 0.0000, 0.8744], [0.7500, 0.0000, 0.3754], [0.7500, 0.5000, 0.6234], [0.2500, 0.0000, 0.6246], [0.2500, 0.5000, 0.3766], [0.2500, 0.5000, 0.8744], [0.7500, 0.5000, 0.1256]]
}

***

{
  "formula": "W2S2Cl",
  "functional": "GGA-PBE",
  "state": "relaxed",
  "space_group": "No. 139",
  "e_form_raw_kj_per_mol_atoms": -2,
  "energy_ev_per_atom": -7.2204,
  "magnetic_moment_mub_per_fu": 0.00,
  "e_above_lowest_polymorph_ev_per_atom": 0.000,
  "lattice": [[-1.0152, -2.6550, 2.3939], [-1.1302, -2.1226, -2.8333], [5.5928, -5.3408, -0.6670]],
  "species": ["S", "S", "W", "W", "Cl"],
  "fractional_positions": [[0.3654, 0.3654, 0.2692], [0.6346, 0.6346, 0.7308], [0.7500, 0.2500, 0.5000], [0.2500, 0.7500, 0.5000], [0.0000, 0.0000, 0.0000]]
}

***

{
  "formula": "CsNiP3",
  "functional": "GGA-PBE",
  "state": "relaxed",
  "space_group": "No. 221",
  "energy_ev_per_atom": -4.0168,
  "magnetic_moment_mub_per_fu": 0.01,
  "e_above_lowest_polymorph_ev_per_atom": 0.000,
  "lattice": [[4.7342, 0.0000, 0.0000], [0.0000, 4.7342, 0.0000], [0.0000, 0.0000, 4.7342]],
  "species": ["P", "P", "P", "Ni", "Cs"],
  "fractional_positions": [[0.0000, 0.0000, 0.5000], [0.5000, 0.0000, 0.0000], [0.0000, 0.5000, 0.0000], [0.0000, 0.0000, 0.0000], [0.5000, 0.5000, 0.5000]]
}

***

{
  "formula": "TaCdSe2",
  "functional": "GGA-PBE",
  "state": "relaxed",
  "space_group": "No. 38",
  "e_form_raw_kj_per_mol_atoms": -13,
  "energy_ev_per_atom": -5.0665,
  "magnetic_moment_mub_per_fu": 0.00,
  "lattice": [[5.0113, 0.0000, 0.0000], [0.0000, 3.6495, 0.0128], [0.0000, 1.8108, 4.6154]],
  "species": ["Ta", "Se", "Se", "Cd"],
  "fractional_positions": [[0.0000, 0.3283, 0.4674], [0.0000, 0.0410, 0.0415], [0.5000, 0.4226, 0.2814], [0.5000, 0.7081, 0.7097]]
}

***

{
  "formula": "AsIrW",
  "functional": "GGA-PBE",
  "state": "relaxed",
  "space_group": "No. 38",
  "energy_ev_per_atom": -8.6949,
  "magnetic_moment_mub_per_fu": 0.00,
  "e_above_lowest_polymorph_ev_per_atom": 0.037,
  "lattice": [[2.8898, 0.0000, 0.0000], [-1.4449, 2.5065, 0.0000], [0.0000, 0.0000, 13.0191]],
  "species": ["Ir", "Ir", "As", "As", "W", "W"],
  "fractional_positions": [[0.7740, 0.5481, 0.6625], [0.7740, 0.5481, 0.3375], [0.1152, 0.2305, 0.8399], [0.1152, 0.2305, 0.1601], [0.4411, 0.8823, 0.5000], [0.4469, 0.8939, 0.0000]]
}

***

- What is the formula in the eleventh record?
  TaCdSe2

***

Repeat the eighth record exactly.
{
  "formula": "Pu4BiTe3",
  "functional": "GGA-PBE",
  "state": "relaxed",
  "space_group": "No. 13",
  "e_form_raw_kj_per_mol_atoms": -84,
  "energy_ev_per_atom": -9.7001,
  "magnetic_moment_mub_per_fu": 0.10,
  "e_above_lowest_polymorph_ev_per_atom": 0.000,
  "lattice": [[-0.8138, 2.7339, 7.1650], [0.1731, -7.7081, 0.1609], [8.9274, 0.2199, 0.9300]],
  "species": ["Pu", "Pu", "Pu", "Pu", "Pu", "Pu", "Pu", "Pu", "Bi", "Bi", "Te", "Te", "Te", "Te", "Te", "Te"],
  "fractional_positions": [[0.0009, 0.2506, 0.6217], [0.9991, 0.7494, 0.3783], [0.4998, 0.7454, 0.1251], [0.5009, 0.2506, 0.3783], [0.9998, 0.7454, 0.8749], [0.5002, 0.2546, 0.8749], [0.0002, 0.2546, 0.1251], [0.4991, 0.7494, 0.6217], [0.2500, 0.0000, 0.1256], [0.7500, 0.0000, 0.8744], [0.7500, 0.0000, 0.3754], [0.7500, 0.5000, 0.6234], [0.2500, 0.0000, 0.6246], [0.2500, 0.5000, 0.3766], [0.2500, 0.5000, 0.8744], [0.7500, 0.5000, 0.1256]]
}